[1]
## CeNd2Er (PBE)

Data for crystalline CeNd2Er at its relaxed geometry.

Lattice parameters (Å, degrees): 5.7482 5.7482 5.7482 60.00 60.00 60.00
Each line ends with the local moment (μB).
Sites, in units of the cell vectors:
Nd1 0.7500 0.7500 0.7500  0.30
Ce1 0.5000 0.5000 0.5000  1.12
Nd2 0.2500 0.2500 0.2500  0.30
Er1 0.0000 0.0000 0.0000  0.39

Properties
As for the total magnetization: 3.25 μB/cell. The value obtained for the energy above the most stable polymorph in this dataset is 128 meV per atom. As for the density of states at the Fermi level: 10.203 states/eV/cell. As for the space group: Fm-3m (225). The calculation puts the formation energy at 197 meV per atom. The calculation puts the total energy at -19.2 eV/cell.

***

[2]
## PmFe2Br8 (PBE)

Data for crystalline PmFe2Br8 at its relaxed geometry.

Lattice parameters (Å, degrees): 6.6534 8.2398 8.2398 75.50 86.22 86.22
Each line ends with the local moment (μB).
Sites, in units of the cell vectors:
Fe1 0.3531 0.1940 0.1940  3.53
Fe2 0.6469 0.8060 0.8060  3.53
Br1 0.2806 0.8148 0.8148  0.10
Br2 0.2389 0.9079 0.2921  0.11
Br3 0.7194 0.1852 0.1852  0.10
Br4 0.7747 0.6370 0.6370  0.24
Br5 0.7611 0.7079 0.0921  0.11
Br6 0.2389 0.2921 0.9079  0.11
Pm1 0.0000 0.0000 0.0000  -0.01
Br7 0.7611 0.0921 0.7079  0.11
Br8 0.2253 0.3630 0.3630  0.24

Properties
As for the total magnetization: 9.00 μB/cell. As for the density of states at the Fermi level: 4.698 states/eV/cell. The formation energy from raw total energies is -0.95 eV/atom. As for the space group: C2/m (12). The calculation puts the total energy at -45.5 eV/cell.

***

[3]
## DyMnSn2Se5 (PBE)

Data for crystalline DyMnSn2Se5 at its relaxed geometry.

Lattice parameters (Å, degrees): 4.1091 9.5509 13.2104 90.00 90.00 102.42
Each line ends with the local moment (μB).
Sites, in units of the cell vectors:
Dy1 0.8056 0.6112 0.5289  0.03
Se1 0.6921 0.3841 0.1776  0.00
Sn1 0.9093 0.8187 0.8556  0.01
Se2 0.6909 0.3817 0.8752  0.01
Se3 0.9685 0.9370 0.5051  -0.04
Se4 0.0315 0.0630 0.0051  -0.04
Dy2 0.1944 0.3888 0.0289  0.03
Se5 0.6554 0.3108 0.5274  -0.02
Se6 0.5097 0.0195 0.2647  -0.03
Mn1 0.5646 0.1291 0.9133  3.66
Se7 0.3079 0.6159 0.6776  0.00
Mn2 0.4354 0.8709 0.4133  3.66
Se8 0.3446 0.6892 0.0274  -0.02
Se9 0.4903 0.9805 0.7647  -0.03
Se10 0.3091 0.6183 0.3752  0.01
Sn2 0.1602 0.3203 0.6762  0.00
Sn3 0.0907 0.1813 0.3556  0.01
Sn4 0.8398 0.6797 0.1762  0.00

Properties
As for the total magnetization: 8.03 μB/cell. As for the density of states at the Fermi level: 6.789 states/eV/cell. The formation energy from raw total energies is -0.77 eV/atom. As for the space group: Cmc2_1 (36). The calculation puts the total energy at -92.3 eV/cell.

***

[4]
## Sm7Tm12Zr (PBE)

Data for crystalline Sm7Tm12Zr at its relaxed geometry.

Lattice parameters (Å, degrees): 8.6340 8.6340 8.6340 89.95 89.95 89.95
Sites, in units of the cell vectors:
Zr1 0.0000 0.0000 0.0000
Sm1 0.0407 0.1612 0.3735
Tm1 0.1303 0.7164 0.2483
Tm2 0.8697 0.2836 0.7517
Sm2 0.3735 0.0407 0.1612
Sm3 0.5000 0.5000 0.5000
Sm4 0.1612 0.3735 0.0407
Tm3 0.7517 0.8697 0.2836
Tm4 0.8469 0.4995 0.3873
Tm5 0.2483 0.1303 0.7164
Tm6 0.5005 0.6127 0.1531
Tm7 0.1531 0.5005 0.6127
Tm8 0.7164 0.2483 0.1303
Tm9 0.6127 0.1531 0.5005
Tm10 0.3873 0.8469 0.4995
Tm11 0.4995 0.3873 0.8469
Sm5 0.6265 0.9593 0.8388
Sm6 0.8388 0.6265 0.9593
Sm7 0.9593 0.8388 0.6265
Tm12 0.2836 0.7517 0.8697

Properties
As for the total magnetization: 0.00 μB/cell. As for the density of states at the Fermi level: 39.526 states/eV/cell. As for the space group: R-3 (148). The calculation puts the formation energy at 269 meV per atom. The calculation puts the total energy at -89.9 eV/cell.

***

[5]
## MgV (PBE)

Data for crystalline MgV at its relaxed geometry.

Lattice parameters (Å, degrees): 9.2162 3.2896 4.6972 90.00 100.37 90.00
Sites, in units of the cell vectors:
Mg1 0.3545 0.0000 0.7364
Mg2 0.6455 0.0000 0.2636
V1 0.9042 0.5000 0.3506
Mg3 0.6455 0.5000 0.7636
V2 0.0958 0.5000 0.6494
V3 0.0958 0.0000 0.1494
V4 0.9042 0.0000 0.8506
Mg4 0.3545 0.5000 0.2364

Properties
As for the total magnetization: 0.00 μB/cell. As for the density of states at the Fermi level: 6.399 states/eV/cell. As for the space group: C2/m (12). The calculation puts the formation energy at 276 meV per atom. The calculation puts the total energy at -40.6 eV/cell.

***

[6]
## ZnH4Br3N (PBE)

Data for crystalline ZnH4Br3N at its relaxed geometry.

Lattice parameters (Å, degrees): 9.3734 6.4848 16.2048 89.77 119.23 90.83
Sites, in units of the cell vectors:
Br1 0.7726 0.5419 0.9294
H1 0.0975 0.4850 0.3756
Br2 0.5674 0.2934 0.0921
H2 0.3730 0.6375 0.8665
N1 0.8101 0.0466 0.0168
Br3 0.3981 0.0083 0.8417
Br4 0.1662 0.1281 0.5672
H3 0.2251 0.3129 0.4559
H4 0.3009 0.5167 0.4202
Zn1 0.4133 0.9956 0.6969
H5 0.8624 0.7096 0.4685
Zn2 0.7099 0.5012 0.7673
H6 0.7337 0.8334 0.4960
N2 0.3243 0.5034 0.8786
H7 0.8860 0.6967 0.5811
Zn3 0.6223 0.4859 0.2312
Br5 0.4483 0.8361 0.4329
Br6 0.4306 0.6270 0.6597
H8 0.7888 0.9055 0.9823
H9 0.9280 0.0555 0.0746
Br7 0.3906 0.7290 0.1698
H10 0.7271 0.0694 0.0406
H11 0.3813 0.4732 0.9509
H12 0.7958 0.1679 0.9715
Zn4 0.4056 0.9830 0.2851
H13 0.3456 0.3766 0.8474
Br8 0.1617 0.1856 0.2025
H14 0.2005 0.3196 0.3440
N3 0.2077 0.4070 0.3999
Br9 0.9270 0.6205 0.7387
Br10 0.6771 0.1309 0.7210
Br11 0.8700 0.6884 0.3188
N4 0.8546 0.7877 0.5220
Br12 0.6377 0.2385 0.3522
H15 0.1987 0.5223 0.8497
H16 0.9346 0.9138 0.5410

Properties
As for the total magnetization: 0.00 μB/cell. As for the density of states at the Fermi level: 0.000 states/eV/cell. As for the space group: P1 (1). The calculation puts the total energy at -136.6 eV/cell.

***

[7]
## CeBeRhN (PBE)

Data for crystalline CeBeRhN at its relaxed geometry.

Lattice parameters (Å, degrees): 3.7931 3.7931 7.8579 90.00 90.00 90.00
Each line ends with the local moment (μB).
Sites, in units of the cell vectors:
Ce1 0.5000 0.0000 0.1639  0.50
N1 0.5000 0.0000 0.8725  -0.03
N2 0.0000 0.5000 0.1275  -0.03
Be1 0.5000 0.0000 0.6661  0.00
Ce2 0.0000 0.5000 0.8361  0.50
Rh1 0.0000 0.0000 0.5000  -0.01
Be2 0.0000 0.5000 0.3339  0.00
Rh2 0.5000 0.5000 0.5000  -0.01

Properties
As for the total magnetization: 1.11 μB/cell. As for the density of states at the Fermi level: 8.967 states/eV/cell. The formation energy from raw total energies is -1.00 eV/atom. As for the space group: P4/nmm (129). The calculation puts the total energy at -58.7 eV/cell.

***

[8]
## SmY4Hg2 (PBE)

Data for crystalline SmY4Hg2 at its relaxed geometry.

Lattice parameters (Å, degrees): 5.0751 5.0751 10.6195 76.18 76.18 60.00
Each line ends with the local moment (μB).
Sites, in units of the cell vectors:
Hg1 0.3986 0.3986 0.8041  0.00
Y1 0.2968 0.2968 0.1095  0.00
Y2 0.7032 0.7032 0.8905  0.00
Y3 0.1065 0.1065 0.6805  0.03
Y4 0.8935 0.8935 0.3195  0.03
Hg2 0.6014 0.6014 0.1959  0.00
Sm1 0.5000 0.5000 0.5000  0.06

Properties
As for the total magnetization: 0.21 μB/cell. As for the density of states at the Fermi level: 9.021 states/eV/cell. As for the space group: R-3m (166). The calculation puts the formation energy at 5 meV per atom. The calculation puts the total energy at -31.1 eV/cell.